# ZrW (GGA-PBE, optimized geometry)
# formation enthalpy at 0 K = 406 meV per atom
data_ZrW
_chemical_formula_sum 'Zr4 W4'
_space_group_name_H-M_alt 'P m m 2'
_space_group_IT_number 25
_space_group_name_Hall 'P 2 -2'
_cell_length_a 4.948
_cell_length_b 5.508
_cell_length_c 5.601
_cell_angle_alpha 90.00
_cell_angle_beta 90.00
_cell_angle_gamma 90.00
loop_
_atom_site_label
_atom_site_fract_x
_atom_site_fract_y
_atom_site_fract_z
_atom_site_occupancy
Zr1 0.000 0.000 0.000 1
Zr2 0.000 0.261 0.495 1
Zr3 0.500 0.000 0.721 1
W1 0.000 0.500 0.001 1
W2 0.500 0.255 0.221 1
W3 0.500 0.500 0.738 1